First-principles (PBE-GGA) data for a geometry-optimized MgNbInOs structure, as listed in OQMD via LeMat-Bulk.

Geometry as POSCAR:
```
MgNbInOs
1.0
-4.290 -0.131 1.722
-3.509 1.827 -2.394
-3.177 -2.760 -1.916
In Mg Nb Os
1 1 1 1
direct
0.250 0.250 0.250
0.750 0.750 0.750
0.500 0.500 0.500
0.000 0.000 0.000
```

Output
VASP energy = -23.9 eV/cell
ΔE to the lowest computed polymorph = 0.4573 eV per atom
Space-group type = F-43m, No. 216

First-principles (PBE-GGA) data for a geometry-optimized MgNbInOs structure, as listed in OQMD via LeMat-Bulk.

Geometry as POSCAR:
```
MgNbInOs
1.0
0.000 3.253 3.253
3.253 0.000 3.253
3.253 3.253 0.000
In Mg Nb Os
1 1 1 1
direct
0.000 0.000 0.000
0.750 0.750 0.750
0.500 0.500 0.500
0.250 0.250 0.250
```

Output
VASP energy = -25.8 eV/cell
ΔE to the lowest computed polymorph = 0.0000 eV per atom
Space-group type = F-43m, No. 216

First-principles (PBE-GGA) data for a geometry-optimized NdMgIn structure, as listed in OQMD via LeMat-Bulk.

Geometry as POSCAR:
```
NdMgIn
1.0
4.622 0.000 0.000
0.000 6.706 3.871
0.000 -6.706 3.871
In Mg Nd
3 3 3
direct
0.000 0.250 0.000
0.000 0.000 0.250
0.000 0.750 0.750
0.500 0.000 0.000
0.000 0.667 0.333
0.000 0.333 0.667
0.500 0.578 0.000
0.500 0.422 0.422
0.500 0.000 0.578
```

Output
VASP energy = -29.7 eV/cell
Space-group type = P-62m, No. 189

First-principles (PBE-GGA) data for a geometry-optimized NdMgIn structure, as listed in OQMD via LeMat-Bulk.

Geometry as POSCAR:
```
NdMgIn
1.0
0.000 3.581 3.581
3.581 0.000 3.581
3.581 3.581 0.000
In Mg Nd
1 1 1
direct
0.000 0.000 0.000
0.250 0.250 0.250
0.750 0.750 0.750
```

Output
VASP energy = -9.8 eV/cell
Space-group type = F-43m, No. 216

First-principles (PBE-GGA) data for a geometry-optimized NdMgIn structure, as listed in OQMD via LeMat-Bulk.

Geometry as POSCAR:
```
NdMgIn
1.0
-7.229 0.681 2.569
5.822 -0.623 5.004
0.465 4.747 0.050
In Mg Nd
3 3 3
direct
0.000 0.000 0.000
0.667 0.333 0.500
0.333 0.667 0.500
0.759 0.000 0.500
0.241 0.241 0.500
0.000 0.759 0.500
0.431 0.000 0.000
0.000 0.431 0.000
0.569 0.569 0.000
```

Output
VASP energy = -30.9 eV/cell
Space-group type = P-62m, No. 189

First-principles (PBE-GGA) data for a geometry-optimized Nd3Mg3InPd2 structure, as listed in OQMD via LeMat-Bulk.

Geometry as POSCAR:
```
Nd3Mg3InPd2
1.0
7.551 0.000 0.000
-3.776 6.540 0.000
0.000 0.000 4.442
In Mg Nd Pd
1 3 3 2
direct
0.000 0.000 0.000
0.251 0.000 0.500
0.000 0.251 0.500
0.749 0.749 0.500
0.573 0.000 0.000
0.427 0.427 0.000
0.000 0.573 0.000
0.667 0.333 0.500
0.333 0.667 0.500
```

Output
VASP energy = -36.7 eV/cell
Space-group type = P-62m, No. 189

First-principles (PBE-GGA) data for a geometry-optimized Pr2NdMg4In2 structure, as listed in OQMD via LeMat-Bulk.

Geometry as POSCAR:
```
Pr2NdMg4In2
1.0
4.810 0.000 0.000
0.000 6.706 3.881
0.000 -6.706 3.881
In Mg Nd Pr
2 4 1 2
direct
0.500 0.667 0.335
0.500 0.335 0.667
0.500 0.243 0.243
0.500 0.000 0.757
0.000 0.999 0.999
0.500 0.757 0.000
0.000 0.571 0.571
0.000 0.429 0.001
0.000 0.001 0.429
```

Output
VASP energy = -28.8 eV/cell
Space-group type = Amm2, No. 38

First-principles (PBE-GGA) data for a geometry-optimized PrNd2Mg3ZnIn2 structure, as listed in OQMD via LeMat-Bulk.

Geometry as POSCAR:
```
PrNd2Mg3ZnIn2
1.0
4.725 0.000 0.000
0.000 6.627 3.817
0.000 -6.627 3.817
In Mg Nd Pr Zn
2 3 2 1 1
direct
0.500 0.668 0.333
0.500 0.333 0.668
0.500 0.000 0.235
0.500 0.765 0.765
0.500 0.235 0.000
0.000 0.592 0.000
0.000 0.000 0.592
0.000 0.409 0.409
0.000 0.998 0.998
```

Output
VASP energy = -29.1 eV/cell
Space-group type = Amm2, No. 38

What are the volume values for these records? In order: 69.9; 68.9; 80.0; 91.9; 81.7; 219.4; 250.4; 239.0 Å³/f.u..
What are the mass density values for these records? In order: 10.03; 10.18; 5.88; 5.12; 5.76; 6.31; 4.99; 5.54 g/cm³.
What are the size of the total moment values for these records? In order: 0.62; 0.00; 0.03; 0.00; 0.01; 0.01; 0.00; 0.03 μB per cell.